A geometry-optimized CrBrCl2 structure. Source: Alexandria via LeMat-Bulk, functional PBE.

Results
**Raw formation energy**: -0.885 eV per atom
**ΔE to the lowest computed polymorph**: 0 meV/atom

Cell lengths 4.7218, 3.5555, 7.0772 Å; angles 90.00, 109.41, 90.00 degrees
Fractional coordinates of all 4 atoms:
Cr 0.0000 0.0000 0.0000
Br 0.1311 0.5000 0.2631
Cl 0.4791 0.0000 0.9582
Cl 0.8814 0.5000 0.7620